The following is a DFT calculation (PBE) of Tm5Ga2Hg2 after structural relaxation.

Output
**DFT formation energy**: -0.506 eV/atom
**Size of the total moment**: 0.0 μB per formula unit
**Total energy**: -3.7303 eV per atom
**ρ**: 10.20 Mg/m³
**SG**: Cmce

Lattice parameters (Å, degrees): 8.836 8.836 7.489 90.00 90.00 50.46
Element x y z (fractional)
Tm 0.000 0.000 0.000
Tm 0.050 0.687 0.675
Tm 0.187 0.550 0.175
Tm 0.313 0.950 0.675
Tm 0.450 0.813 0.175
Tm 0.500 0.500 0.500
Tm 0.550 0.187 0.825
Tm 0.687 0.050 0.325
Tm 0.813 0.450 0.825
Tm 0.950 0.313 0.325
Ga 0.121 0.879 0.378
Ga 0.379 0.621 0.878
Ga 0.621 0.379 0.122
Ga 0.879 0.121 0.622
Hg 0.217 0.217 0.000
Hg 0.283 0.283 0.500
Hg 0.717 0.717 0.500
Hg 0.783 0.783 0.000

The following is a DFT calculation (PBE) of Na2Li2ThO4 after structural relaxation.

Output
**Size of the total moment**: 0.0 μB per formula unit
**Total energy**: -6.0591 eV per atom
**ρ**: 4.51 Mg/m³
**Raw formation energy**: -2313 meV per atom
**SG**: C2/m

Lattice parameters (Å, degrees): 5.956 5.956 8.131 124.89 124.89 34.61
Element x y z (fractional)
Na 0.174 0.174 0.274
Na 0.826 0.826 0.726
Li 0.341 0.341 0.110
Li 0.659 0.659 0.890
Th 0.000 0.000 0.500
O 0.221 0.221 0.815
O 0.438 0.438 0.626
O 0.562 0.562 0.374
O 0.779 0.779 0.185